Entry 1:
DFT (PBE) results for a relaxed structure of MnRuCl6. Values from VASP.

Geometry as Quantum ESPRESSO input:
```
&SYSTEM
  ibrav = 0, nat = 8, ntyp = 3
/
ATOMIC_SPECIES
Mn 54.94 Mn.upf
Ru 101.07 Ru.upf
Cl 35.45 Cl.upf
CELL_PARAMETERS angstrom
0.6760 -2.7648 -6.1524
-0.9330 -3.3081 5.8428
-5.5624 2.3861 -0.6380
ATOMIC_POSITIONS crystal
Mn 0.0000 0.0000 0.0000
Ru 0.5000 0.5000 0.5000
Cl 0.6168 0.8860 0.7504
Cl 0.8860 0.6168 0.7504
Cl 0.1140 0.3832 0.2496
Cl 0.3832 0.1140 0.2496
Cl 0.2690 0.2690 0.7327
Cl 0.7310 0.7310 0.2673
```

Computed properties:
Formation energy without anion corrections: -0.673 eV/atom
Space-group type: C2/m, No. 12
Size of the total moment: 6.1 μB/cell
E: -4.3639 eV per atom

---

Entry 2:
DFT (PBE) results for a relaxed structure of MnRu2Cl. Values from VASP.

Geometry as Quantum ESPRESSO input:
```
&SYSTEM
  ibrav = 0, nat = 8, ntyp = 3
/
ATOMIC_SPECIES
Ru 101.07 Ru.upf
Mn 54.94 Mn.upf
Cl 35.45 Cl.upf
CELL_PARAMETERS angstrom
5.3942 0.0000 0.0000
0.0000 5.3942 0.0000
2.6971 2.6971 5.1291
ATOMIC_POSITIONS crystal
Ru 0.6528 0.1250 0.2500
Ru 0.0972 0.6250 0.2500
Ru 0.3750 0.3472 0.7500
Ru 0.8750 0.9028 0.7500
Mn 0.0000 0.0000 0.0000
Mn 0.7500 0.2500 0.5000
Cl 0.5000 0.5000 0.0000
Cl 0.2500 0.7500 0.5000
```

Computed properties:
Formation energy without anion corrections: 0.896 eV/atom
Space-group type: I-42d, No. 122
Size of the total moment: 0.0 μB/cell
E: -6.4964 eV per atom

---

Entry 3:
DFT (PBE) results for a relaxed structure of Mn2RuCl. Values from VASP.

Geometry as Quantum ESPRESSO input:
```
&SYSTEM
  ibrav = 0, nat = 4, ntyp = 3
/
ATOMIC_SPECIES
Ru 101.07 Ru.upf
Mn 54.94 Mn.upf
Cl 35.45 Cl.upf
CELL_PARAMETERS angstrom
-0.0722 0.5543 2.9802
-3.0186 -0.2855 -0.0201
0.6491 -6.9551 1.3094
ATOMIC_POSITIONS crystal
Ru 0.5000 0.5000 0.2500
Mn 0.0000 0.0000 0.0332
Mn 0.0000 0.0000 0.4668
Cl 0.5000 0.5000 0.7500
```

Computed properties:
Formation energy without anion corrections: 0.154 eV/atom
Space-group type: P4/mmm, No. 123
Size of the total moment: 8.2 μB/cell
E: -7.2116 eV per atom

---

Entry 4:
DFT (PBE) results for a relaxed structure of MnRuCl. Values from VASP.

Geometry as Quantum ESPRESSO input:
```
&SYSTEM
  ibrav = 0, nat = 3, ntyp = 3
/
ATOMIC_SPECIES
Cl 35.45 Cl.upf
Mn 54.94 Mn.upf
Ru 101.07 Ru.upf
CELL_PARAMETERS angstrom
5.8250 -0.0041 0.0000
4.3438 3.8809 0.0000
-5.0844 -1.9384 2.0789
ATOMIC_POSITIONS crystal
Cl 0.9979 0.9979 0.0000
Mn 0.3191 0.3191 0.0000
Ru 0.6830 0.6830 0.0000
```

Computed properties:
Formation energy without anion corrections: 0.340 eV/atom
Space-group type: I4mm, No. 107
Size of the total moment: 2.8 μB/cell
E: -6.4244 eV per atom

---

Entry 5:
DFT (PBE) results for a relaxed structure of Mn2RuCl. Values from VASP.

Geometry as Quantum ESPRESSO input:
```
&SYSTEM
  ibrav = 0, nat = 4, ntyp = 3
/
ATOMIC_SPECIES
Ru 101.07 Ru.upf
Mn 54.94 Mn.upf
Cl 35.45 Cl.upf
CELL_PARAMETERS angstrom
2.9240 0.0000 0.0000
0.0000 4.6000 0.0000
0.0000 0.0000 4.4053
ATOMIC_POSITIONS crystal
Ru 0.5000 0.0000 0.5000
Mn 0.0000 0.0000 0.0000
Mn 0.5000 0.5000 0.0000
Cl 0.0000 0.5000 0.5000
```

Computed properties:
Formation energy without anion corrections: 0.648 eV/atom
Space-group type: Pmmm, No. 47
Size of the total moment: 7.3 μB/cell
E: -6.7172 eV per atom

---

Entry 6:
DFT (PBE) results for a relaxed structure of MnRuCl. Values from VASP.

Geometry as Quantum ESPRESSO input:
```
&SYSTEM
  ibrav = 0, nat = 3, ntyp = 3
/
ATOMIC_SPECIES
Cl 35.45 Cl.upf
Mn 54.94 Mn.upf
Ru 101.07 Ru.upf
CELL_PARAMETERS angstrom
-5.7324 3.4144 0.9921
-6.3265 0.4795 0.8909
0.1213 1.4018 2.6453
ATOMIC_POSITIONS crystal
Cl 0.9837 0.9837 0.0163
Mn 0.3338 0.3338 0.6662
Ru 0.6825 0.6825 0.3175
```

Computed properties:
Formation energy without anion corrections: 0.303 eV/atom
Space-group type: Fmm2, No. 42
Size of the total moment: 3.4 μB/cell
E: -6.4609 eV per atom

---

Entry 7:
DFT (PBE) results for a relaxed structure of Mn2RuCl8. Values from VASP.

Geometry as Quantum ESPRESSO input:
```
&SYSTEM
  ibrav = 0, nat = 11, ntyp = 3
/
ATOMIC_SPECIES
Mn 54.94 Mn.upf
Ru 101.07 Ru.upf
Cl 35.45 Cl.upf
CELL_PARAMETERS angstrom
6.0578 -0.4946 0.5468
0.1441 7.6962 2.6411
-0.7090 2.7566 7.6241
ATOMIC_POSITIONS crystal
Mn 0.5627 0.8497 0.8497
Mn 0.4373 0.1503 0.1503
Ru 0.0000 0.0000 0.0000
Cl 0.2446 0.8282 0.2928
Cl 0.2446 0.2928 0.8282
Cl 0.7554 0.1718 0.7072
Cl 0.3654 0.2973 0.2973
Cl 0.7554 0.7072 0.1718
Cl 0.1803 0.8613 0.8613
Cl 0.8197 0.1387 0.1387
Cl 0.6346 0.7027 0.7027
```

Computed properties:
Formation energy without anion corrections: -0.766 eV/atom
Space-group type: C2/m, No. 12
Size of the total moment: 8.0 μB/cell
E: -4.6198 eV per atom

---

Entry 8:
DFT (PBE) results for a relaxed structure of Mn2RuCl. Values from VASP.

Geometry as Quantum ESPRESSO input:
```
&SYSTEM
  ibrav = 0, nat = 4, ntyp = 3
/
ATOMIC_SPECIES
Cl 35.45 Cl.upf
Mn 54.94 Mn.upf
Ru 101.07 Ru.upf
CELL_PARAMETERS angstrom
2.9028 0.0000 0.0000
0.0000 4.6570 0.0000
0.0000 0.0000 4.6570
ATOMIC_POSITIONS crystal
Cl 0.5000 0.0000 0.5000
Mn 0.0000 0.0000 0.0000
Mn 0.0000 0.5000 0.5000
Ru 0.5000 0.5000 0.0000
```

Computed properties:
Formation energy without anion corrections: 0.489 eV/atom
Space-group type: P4/mmm, No. 123
Size of the total moment: 8.3 μB/cell
E: -6.8766 eV per atom

---

Entry 9:
DFT (PBE) results for a relaxed structure of MnRu2Cl. Values from VASP.

Geometry as Quantum ESPRESSO input:
```
&SYSTEM
  ibrav = 0, nat = 4, ntyp = 3
/
ATOMIC_SPECIES
Cl 35.45 Cl.upf
Mn 54.94 Mn.upf
Ru 101.07 Ru.upf
CELL_PARAMETERS angstrom
-0.5642 4.1790 -1.1948
-3.4934 2.2331 1.4211
0.4989 3.2077 2.9448
ATOMIC_POSITIONS crystal
Cl 0.5000 0.5000 0.5000
Mn 0.2500 0.2500 0.2500
Ru 0.0000 0.0000 0.0000
Ru 0.7500 0.7500 0.7500
```

Computed properties:
Formation energy without anion corrections: 0.831 eV/atom
Space-group type: F-43m, No. 216
Size of the total moment: 3.3 μB/cell
E: -6.5613 eV per atom

---

Entry 10:
DFT (PBE) results for a relaxed structure of Mn3RuCl. Values from VASP.

Geometry as Quantum ESPRESSO input:
```
&SYSTEM
  ibrav = 0, nat = 5, ntyp = 3
/
ATOMIC_SPECIES
Ru 101.07 Ru.upf
Mn 54.94 Mn.upf
Cl 35.45 Cl.upf
CELL_PARAMETERS angstrom
4.0388 0.0000 0.0000
0.0000 4.0388 0.0000
0.0000 0.0000 4.0388
ATOMIC_POSITIONS crystal
Ru 0.5000 0.5000 0.5000
Mn 0.0000 0.5000 0.0000
Mn 0.0000 0.0000 0.5000
Mn 0.5000 0.0000 0.0000
Cl 0.0000 0.0000 0.0000
```

Computed properties:
Formation energy without anion corrections: 1.080 eV/atom
Space-group type: Pm-3m, No. 221
Size of the total moment: 0.0 μB/cell
E: -6.6467 eV per atom

---

Entry 11:
DFT (PBE) results for a relaxed structure of MnRu4Cl. Values from VASP.

Geometry as Quantum ESPRESSO input:
```
&SYSTEM
  ibrav = 0, nat = 6, ntyp = 3
/
ATOMIC_SPECIES
Mn 54.94 Mn.upf
Ru 101.07 Ru.upf
Cl 35.45 Cl.upf
CELL_PARAMETERS angstrom
0.0000 3.6617 3.6617
3.6617 0.0000 3.6617
3.6617 3.6617 0.0000
ATOMIC_POSITIONS crystal
Mn 0.0000 0.0000 0.0000
Ru 0.8742 0.3753 0.3753
Ru 0.3753 0.3753 0.8742
Ru 0.3753 0.8742 0.3753
Ru 0.3753 0.3753 0.3753
Cl 0.7500 0.7500 0.7500
```

Computed properties:
Formation energy without anion corrections: 0.958 eV/atom
Space-group type: F-43m, No. 216
Size of the total moment: 0.1 μB/cell
E: -7.0616 eV per atom

---

Entry 12:
DFT (PBE) results for a relaxed structure of Mn2RuCl. Values from VASP.

Geometry as Quantum ESPRESSO input:
```
&SYSTEM
  ibrav = 0, nat = 4, ntyp = 3
/
ATOMIC_SPECIES
Ru 101.07 Ru.upf
Mn 54.94 Mn.upf
Cl 35.45 Cl.upf
CELL_PARAMETERS angstrom
-3.3646 -2.6881 1.0548
-2.0766 -2.3013 -3.1702
0.5145 -4.3970 -0.2457
ATOMIC_POSITIONS crystal
Ru 0.7500 0.7500 0.7500
Mn 0.0000 0.0000 0.0000
Mn 0.2500 0.2500 0.2500
Cl 0.5000 0.5000 0.5000
```

Computed properties:
Formation energy without anion corrections: 0.841 eV/atom
Space-group type: F-43m, No. 216
Size of the total moment: 8.3 μB/cell
E: -6.5245 eV per atom

---

Entry 13:
DFT (PBE) results for a relaxed structure of MnRu2Cl. Values from VASP.

Geometry as Quantum ESPRESSO input:
```
&SYSTEM
  ibrav = 0, nat = 4, ntyp = 3
/
ATOMIC_SPECIES
Cl 35.45 Cl.upf
Mn 54.94 Mn.upf
Ru 101.07 Ru.upf
CELL_PARAMETERS angstrom
2.9874 0.0000 0.0000
0.0000 2.9874 0.0000
0.0000 0.0000 6.5766
ATOMIC_POSITIONS crystal
Cl 0.5000 0.5000 0.2500
Mn 0.5000 0.5000 0.7500
Ru 0.0000 0.0000 0.9611
Ru 0.0000 0.0000 0.5389
```

Computed properties:
Formation energy without anion corrections: 0.379 eV/atom
Space-group type: P4/mmm, No. 123
Size of the total moment: 1.8 μB/cell
E: -7.0127 eV per atom

---

Entry 14:
DFT (PBE) results for a relaxed structure of Mn2RuCl. Values from VASP.

Geometry as Quantum ESPRESSO input:
```
&SYSTEM
  ibrav = 0, nat = 4, ntyp = 3
/
ATOMIC_SPECIES
Ru 101.07 Ru.upf
Mn 54.94 Mn.upf
Cl 35.45 Cl.upf
CELL_PARAMETERS angstrom
7.3346 0.4509 -0.5070
6.5724 3.2870 -0.5070
-0.3954 -0.1063 2.9083
ATOMIC_POSITIONS crystal
Ru 0.4669 0.4669 0.4652
Mn 0.0582 0.0582 0.0589
Mn 0.6778 0.6778 0.6814
Cl 0.2971 0.2971 0.2946
```

Computed properties:
Formation energy without anion corrections: 0.134 eV/atom
Space-group type: Cm, No. 8
Size of the total moment: 5.2 μB/cell
E: -7.2316 eV per atom

---

Entry 15:
DFT (PBE) results for a relaxed structure of MnRuCl. Values from VASP.

Geometry as Quantum ESPRESSO input:
```
&SYSTEM
  ibrav = 0, nat = 3, ntyp = 3
/
ATOMIC_SPECIES
Cl 35.45 Cl.upf
Mn 54.94 Mn.upf
Ru 101.07 Ru.upf
CELL_PARAMETERS angstrom
-0.5841 -3.9896 -1.0320
3.8333 1.3970 0.8229
-0.3692 -0.6969 2.9028
ATOMIC_POSITIONS crystal
Cl 0.0000 0.0000 0.8028
Mn 0.6667 0.3333 0.3448
Ru 0.3333 0.6667 0.8523
```

Computed properties:
Formation energy without anion corrections: 0.543 eV/atom
Space-group type: P3m1, No. 156
Size of the total moment: 3.6 μB/cell
E: -6.2208 eV per atom

---

Sequential ρ output: 2.91, 6.51, 6.26, 6.76, 6.91, 6.55, 2.60, 6.50, 8.16, 7.60, 8.37, 6.64, 8.28, 6.72, 7.05 g/cm3